# 1
BRuOF2: optimized geometry, GGA-PBE.

As for the formation energy from raw total energies: -0.757 eV per atom. The calculation puts the excess energy over the best structure of this formula in the dataset at 0.0 meV per atom. The mass density comes out at 5.27 g/cm³. The value obtained for the total energy is -5.687 eV per atom.

The space group is P4/mmm (No. 123) and the conventional cell measures 4.4580, 4.4580 and 2.6305 Å, with angles of 90.00, 90.00 and 90.00 degrees. Symmetry generates all atoms from B at (0.0000, 0.0000, 0.0000), Ru at (0.5000, 0.5000, 0.5000), O at (0.0000, 0.0000, 0.5000) and F at (0.0000, 0.5000, 0.0000).

***

# 2
ScAlSn2Au: optimized geometry, GGA-PBE.

The mass density comes out at 5.37 g/cm³. The value obtained for the total energy is -3.771 eV per atom.

The space group is P4/mmm (No. 123) and the conventional cell measures 5.5272, 5.5272 and 5.1214 Å, with angles of 90.00, 90.00 and 90.00 degrees. Symmetry generates all atoms from Sc at (0.0000, 0.0000, 0.0000), Al at (0.5000, 0.5000, 0.5000), Sn at (0.0000, 0.5000, 0.0000) and Au at (0.0000, 0.0000, 0.5000).

***

# 3
PmDy2Bi3: optimized geometry, GGA-PBE.

The mass density comes out at 9.35 g/cm³. The value obtained for the total energy is -5.149 eV per atom.

The space group is Immm (No. 71) and the conventional cell measures 4.5111, 6.3789 and 13.5337 Å, with angles of 90.00, 90.00 and 90.00 degrees. Symmetry generates all atoms from Pm at (0.0000, 0.0000, 0.0000), Dy at (0.0000, 0.0000, 0.3345), Bi at (0.0000, 0.5000, 0.0000) and Bi at (0.0000, 0.5000, 0.3295).

***

# 4
Ac8Pm6Sm: optimized geometry, GGA-PBE.

The mass density comes out at 7.46 g/cm³. The value obtained for the total energy is -4.179 eV per atom.

The space group is P-3 (No. 147) and the conventional cell measures 10.0298, 10.0298 and 7.2491 Å, with angles of 90.00, 90.00 and 120.00 degrees. Symmetry generates all atoms from Ac at (0.0461, 0.6941, 0.1170), Ac at (0.3333, 0.6667, 0.7386), Pm at (0.0440, 0.3743, 0.4006) and Sm at (0.0000, 0.0000, 0.5000).

***

# 5
Pr3Ho2Tm6: optimized geometry, GGA-PBE.

The calculation puts the excess energy over the best structure of this formula in the dataset at 0.0 meV per atom. The mass density comes out at 7.90 g/cm³. The value obtained for the total energy is -4.364 eV per atom.

The space group is C2/m (No. 12) and the conventional cell measures 6.1526, 10.6788 and 11.4945 Å, with angles of 90.00, 100.42 and 90.00 degrees. Symmetry generates all atoms from Pr at (0.0000, 0.0000, 0.0000), Pr at (0.0000, 0.3357, 0.0000), Ho at (0.0000, 0.1661, 0.5000), Tm at (0.2476, 0.3336, 0.7442) and Tm at (0.2487, 0.0000, 0.7447).

***

# 6
Sm6Co2Br3N: optimized geometry, GGA-PBE.

As for the formation energy from raw total energies: -0.944 eV per atom. The mass density comes out at 7.11 g/cm³. The value obtained for the total energy is -5.600 eV per atom.

The space group is C2/m (No. 12) and the conventional cell measures 6.7294, 11.6467 and 7.9082 Å, with angles of 90.00, 106.26 and 90.00 degrees. Symmetry generates all atoms from Sm at (0.2198, 0.1591, 0.1832), Sm at (0.2422, 0.5000, 0.1836), Co at (0.0000, 0.3332, 0.0000), Br at (0.0000, 0.1662, 0.5000), Br at (0.0000, 0.5000, 0.5000) and N at (0.0000, 0.0000, 0.0000).

***

# 7
Cr2H3Rh2: optimized geometry, GGA-PBE.

The mass density comes out at 9.01 g/cm³. The value obtained for the total energy is -6.325 eV per atom.

The space group is C2/m (No. 12) and the conventional cell measures 9.0890, 2.7092 and 4.7597 Å, with angles of 90.00, 100.13 and 90.00 degrees. Symmetry generates all atoms from Cr at (0.1239, 0.0000, 0.3647), H at (0.0000, 0.5000, 0.5000), H at (0.2486, 0.5000, 0.2895) and Rh at (0.1173, 0.5000, 0.8694).

***

# 8
HfFeCo2: optimized geometry, GGA-PBE.

The mass density comes out at 11.05 g/cm³. The value obtained for the total energy is -8.348 eV per atom.

The space group is P4/mmm (No. 123) and the conventional cell measures 3.9416, 3.9416 and 3.4082 Å, with angles of 90.00, 90.00 and 90.00 degrees. Symmetry generates all atoms from Hf at (0.0000, 0.0000, 0.0000), Fe at (0.5000, 0.5000, 0.0000) and Co at (0.0000, 0.5000, 0.5000).